An optimized crystal structure of PuTl2Si2Au7, computed with PBE.

a = 4.8632 Å, b = 4.8632 Å, c = 11.8256 Å
α = 96.57°, β = 96.57°, γ = 89.74°
Closest atoms and distances in Å follow each position.
Sites, in units of the cell vectors:
Pu (0.0000, 0.0000, 0.0000)  12 Au 3.18-3.45
Tl (0.1194, 0.1194, 0.3859)  2 Au 3.06-3.07, 1 Si 3.38, 1 Tl 3.38
Tl (0.8806, 0.8806, 0.6141)  2 Au 3.06-3.07, 1 Si 3.38, 1 Tl 3.38
Si (0.3218, 0.3218, 0.7867)  6 Au 2.39-2.67
Si (0.6782, 0.6782, 0.2133)  6 Au 2.39-2.67
Au (0.1384, 0.5563, 0.1752)  2 Si 2.39-2.67
Au (0.4344, 0.4344, 0.6020)  1 Si 2.43, 1 Au 2.71
Au (0.4437, 0.8616, 0.8248)  2 Si 2.39-2.67
Au (0.5000, 0.5000, 0.0000)  2 Si 2.62, 4 Au 2.86
Au (0.5563, 0.1384, 0.1752)  2 Si 2.39-2.67
Au (0.5656, 0.5656, 0.3980)  1 Si 2.43, 1 Au 2.71
Au (0.8616, 0.4437, 0.8248)  2 Si 2.39-2.67

* uncorrected formation energy: -0.14 eV/atom
* space-group type: C2/m (12)
* total energy: -4.54 eV per atom

=====

An optimized crystal structure of Sm2In3Hg4, computed with PBE.

a = 8.8948 Å, b = 8.8948 Å, c = 8.7245 Å
α = 90.00°, β = 90.00°, γ = 137.89°
Closest atoms and distances in Å follow each position.
Sites, in units of the cell vectors:
Sm (0.1124, 0.8876, 0.9201)  8 Hg 3.38-3.69, 6 In 3.54-3.77
Sm (0.3876, 0.6124, 0.4201)  8 Hg 3.38-3.69, 6 In 3.54-3.77
Sm (0.6124, 0.3876, 0.5799)  8 Hg 3.38-3.69, 6 In 3.54-3.77
Sm (0.8876, 0.1124, 0.0799)  8 Hg 3.38-3.69, 6 In 3.54-3.77
In (0.0000, 0.0000, 0.5000)  6 Hg 2.81-2.94
In (0.0301, 0.4699, 0.7500)  5 Hg 2.89-3.12, 2 In 3.20
In (0.4699, 0.0301, 0.2500)  5 Hg 2.89-3.12, 2 In 3.20
In (0.5000, 0.5000, 0.0000)  6 Hg 2.81-2.94
In (0.5301, 0.9699, 0.7500)  5 Hg 2.89-3.12, 2 In 3.20
In (0.9699, 0.5301, 0.2500)  5 Hg 2.89-3.12, 2 In 3.20
Hg (0.1754, 0.8246, 0.5449)  5 In 2.94-3.12
Hg (0.2044, 0.2956, 0.7500)  3 In 2.81-2.89
Hg (0.2956, 0.2044, 0.2500)  3 In 2.81-2.89
Hg (0.3246, 0.6754, 0.0449)  5 In 2.94-3.12
Hg (0.6754, 0.3246, 0.9551)  5 In 2.94-3.12
Hg (0.7044, 0.7956, 0.7500)  3 In 2.81-2.89
Hg (0.7956, 0.7044, 0.2500)  3 In 2.81-2.89
Hg (0.8246, 0.1754, 0.4551)  5 In 2.94-3.12

* offset from the most stable computed form: 71 meV per atom
* space-group type: Cmce (64)
* total energy: -2.35 eV per atom

=====

An optimized crystal structure of Nd4Y3Rh4, computed with PBE.

a = 9.5835 Å, b = 9.5835 Å, c = 9.5835 Å
α = 157.62°, β = 123.70°, γ = 61.34°
Closest atoms and distances in Å follow each position.
Sites, in units of the cell vectors:
Nd (0.0230, 0.8365, 0.1865)  4 Rh 2.84-3.10
Nd (0.3500, 0.1635, 0.1865)  4 Rh 2.84-3.10
Nd (0.6500, 0.8365, 0.8135)  4 Rh 2.84-3.10
Nd (0.9770, 0.1635, 0.8135)  4 Rh 2.84-3.10
Y (0.0000, 0.5000, 0.5000)  4 Rh 3.17
Y (0.4010, 0.4010, 0.0000)  6 Rh 2.97-3.15, 1 Y 3.26
Y (0.5990, 0.5990, 0.0000)  6 Rh 2.97-3.15, 1 Y 3.26
Rh (0.2604, 0.7604, 0.5000)  2 Y 2.97, 6 Nd 2.98-3.10
Rh (0.2844, 0.0000, 0.2844)  2 Nd 2.84, 6 Y 3.15-3.17
Rh (0.7156, 0.0000, 0.7156)  2 Nd 2.84, 6 Y 3.15-3.17
Rh (0.7396, 0.2396, 0.5000)  2 Y 2.97, 6 Nd 2.98-3.10

* space-group type: Immm (71)
* total energy: -6.68 eV per atom

=====

An optimized crystal structure of AcPu2N, computed with PBE.

a = 3.2602 Å, b = 3.2602 Å, c = 9.0809 Å
α = 90.00°, β = 90.00°, γ = 90.00°
Closest atoms and distances in Å follow each position.
Sites, in units of the cell vectors:
Ac (0.0000, 0.0000, 0.0000)  4 Ac 3.26
Pu (0.5000, 0.5000, 0.3486)  4 N 2.68, 1 Pu 2.75
Pu (0.5000, 0.5000, 0.6514)  4 N 2.68, 1 Pu 2.75
N (0.0000, 0.0000, 0.5000)  8 Pu 2.68

* offset from the most stable computed form: 0 meV per atom
* uncorrected formation energy: 0.01 eV/atom
* space-group type: P4/mmm (123)
* total energy: -10.26 eV per atom

=====

An optimized crystal structure of GaCuBr4, computed with PBE.

a = 6.0196 Å, b = 6.0196 Å, c = 10.5152 Å
α = 90.00°, β = 90.00°, γ = 90.00°
Closest atoms and distances in Å follow each position.
Sites, in units of the cell vectors:
Ga (0.0000, 0.5000, 0.2500)  4 Br 2.39
Ga (0.5000, 0.0000, 0.7500)  4 Br 2.39
Cu (0.0000, 0.0000, 0.0000)  4 Br 2.48
Cu (0.0000, 0.0000, 0.5000)  4 Br 2.48
Br (0.2292, 0.2683, 0.3791)  1 Ga 2.39, 1 Cu 2.48
Br (0.2292, 0.7317, 0.1209)  1 Ga 2.39, 1 Cu 2.48
Br (0.2683, 0.2292, 0.8791)  1 Ga 2.39, 1 Cu 2.48
Br (0.2683, 0.7708, 0.6209)  1 Ga 2.39, 1 Cu 2.48
Br (0.7317, 0.2292, 0.6209)  1 Ga 2.39, 1 Cu 2.48
Br (0.7317, 0.7708, 0.8791)  1 Ga 2.39, 1 Cu 2.48
Br (0.7708, 0.2683, 0.1209)  1 Ga 2.39, 1 Cu 2.48
Br (0.7708, 0.7317, 0.3791)  1 Ga 2.39, 1 Cu 2.48

* uncorrected formation energy: -0.65 eV/atom
* space-group type: P-42c (112)
* total energy: -2.95 eV per atom

=====

An optimized crystal structure of Tb2Pm6Tl, computed with PBE.

a = 9.8388 Å, b = 9.8388 Å, c = 3.4577 Å
α = 90.25°, β = 90.25°, γ = 59.90°
Closest atoms and distances in Å follow each position.
Sites, in units of the cell vectors:
Tb (0.1663, 0.1663, 0.0000)  2 Tb 3.46, 12 Pm 3.72-3.75
Tb (0.8337, 0.8337, 0.0000)  2 Tb 3.46, 12 Pm 3.72-3.75
Pm (0.1722, 0.5000, 0.5055)  5 Pm 3.21-3.46
Pm (0.1754, 0.8246, 0.5000)  5 Pm 3.21-3.46
Pm (0.5000, 0.1722, 0.5055)  5 Pm 3.21-3.46
Pm (0.5000, 0.8278, 0.4945)  5 Pm 3.21-3.46
Pm (0.8246, 0.1754, 0.5000)  5 Pm 3.21-3.46
Pm (0.8278, 0.5000, 0.4945)  5 Pm 3.21-3.46
Tl (0.5000, 0.5000, 0.0000)  2 Tl 3.46, 12 Pm 3.63-3.67

* offset from the most stable computed form: 83 meV per atom
* space-group type: C2/m (12)
* total energy: -4.44 eV per atom

=====

An optimized crystal structure of Ce2GePd, computed with PBE.

a = 6.2050 Å, b = 6.2050 Å, c = 6.2050 Å
α = 119.43°, β = 98.72°, γ = 110.92°
Closest atoms and distances in Å follow each position.
Sites, in units of the cell vectors:
Ce (0.2804, 0.0000, 0.7804)  4 Pd 3.08-3.19, 4 Ge 3.11-3.15, 2 Ce 3.13
Ce (0.2804, 0.5000, 0.2804)  4 Pd 3.08-3.19, 4 Ge 3.11-3.15, 2 Ce 3.13
Ce (0.7196, 0.0000, 0.2196)  4 Pd 3.08-3.19, 4 Ge 3.11-3.15, 2 Ce 3.13
Ce (0.7196, 0.5000, 0.7196)  4 Pd 3.08-3.19, 4 Ge 3.11-3.15, 2 Ce 3.13
Ge (0.2055, 0.4555, 0.7500)  3 Pd 2.82-3.13, 8 Ce 3.11-3.15
Ge (0.7945, 0.5445, 0.2500)  3 Pd 2.82-3.13, 8 Ce 3.11-3.15
Pd (0.1950, 0.9450, 0.2500)  3 Ge 2.82-3.13, 4 Ce 3.08
Pd (0.8050, 0.0550, 0.7500)  3 Ge 2.82-3.13, 4 Ce 3.08

* space-group type: Imma (74)
* total energy: -6.08 eV per atom

=====

An optimized crystal structure of Be2IF, computed with PBE.

a = 7.0081 Å, b = 7.0081 Å, c = 7.0081 Å
α = 141.59°, β = 141.59°, γ = 55.44°
Closest atoms and distances in Å follow each position.
Sites, in units of the cell vectors:
Be (0.3750, 0.2258, 0.3508)  2 F 1.99
Be (0.7742, 0.1250, 0.1492)  2 F 1.99
Be (0.8750, 0.0242, 0.6492)  2 F 1.99
Be (0.9758, 0.6250, 0.8508)  2 F 1.99
I (0.2500, 0.7500, 0.5000)  4 Be 2.67
I (0.5000, 0.5000, 0.0000)  4 Be 2.67
F (0.0000, 0.0000, 0.0000)  4 Be 1.99
F (0.7500, 0.2500, 0.5000)  4 Be 1.99

* offset from the most stable computed form: 0 meV per atom
* uncorrected formation energy: -0.14 eV/atom
* space-group type: I-42d (122)
* total energy: -2.86 eV per atom

=====

Values for DOS at the Fermi energy, states/eV/cell, ordered as above
20.53; 11.57; 8.19; 11.17; 0.00; 14.59; 16.77; 0.44
Values for size of the total moment, Bohr magnetons per cell, ordered as above
5.7; 0.0; 0.0; 11.2; 0.0; 0.0; 3.5; 0.0